No. 1
The following is a DFT calculation (PBE) of a relaxed structure of CdCuCl.

Geometry as POSCAR:
```
CdCuCl
1.0
6.668 0.000 0.000
0.000 10.974 0.000
-3.168 0.000 3.393
Cd Cu Cl
4 4 4
Cartesian
1.478 0.000 0.052 Cd
-1.311 5.487 3.341 Cd
4.812 5.487 0.052 Cd
2.022 0.000 3.341 Cd
-0.019 4.027 1.331 Cu
0.185 9.514 2.062 Cu
3.315 9.514 1.331 Cu
3.519 4.027 2.062 Cu
-1.584 2.199 1.696 Cl
-1.584 8.013 1.696 Cl
1.750 2.526 1.696 Cl
1.750 7.686 1.696 Cl
```

Properties
For the distance to the lowest polymorph of the same formula, the calculation gives 0.06 eV/f.u. The calculation puts the formation energy without anion corrections at -0.258 eV/atom.

---

No. 2
The following is a DFT calculation (PBE) of a relaxed structure of P2RhBrCl.

Geometry as POSCAR:
```
P2RhBrCl
1.0
4.632 0.000 0.000
0.000 4.632 0.000
0.000 0.000 4.896
P Rh Br Cl
2 1 1 1
Cartesian
0.000 2.316 0.000 P
2.316 0.000 0.000 P
0.000 0.000 0.000 Rh
2.316 2.316 2.448 Br
0.000 0.000 2.448 Cl
```

Properties
For the distance to the lowest polymorph of the same formula, the calculation gives 0.00 eV/f.u. The calculation puts the formation energy without anion corrections at 0.383 eV/atom.

---

No. 3
The following is a DFT calculation (PBE) of a relaxed structure of Mn3SbBr.

Geometry as POSCAR:
```
Mn3SbBr
1.0
4.750 0.000 0.000
0.000 4.750 0.000
0.000 0.000 4.750
Mn Sb Br
3 1 1
Cartesian
0.000 0.000 2.375 Mn
0.000 2.375 0.000 Mn
2.375 0.000 0.000 Mn
2.375 2.375 2.375 Sb
0.000 0.000 0.000 Br
```

Properties
For the distance to the lowest polymorph of the same formula, the calculation gives 0.75 eV/f.u. The calculation puts the formation energy without anion corrections at 0.906 eV/atom.

---

It is found that the mass density values, taken in the order of the records, are 5.7, 4.4, 5.7 Mg/m³.